Record 1
Crystalline Sm4YRh5 at its relaxed geometry. Source: Alexandria, functional PBE-GGA.

Computed properties:
The volume comes out at 21.2 A^3/atom. The theoretical density comes out at 9.43 Mg/m³. Its space group is P4/mmm. The formation energy is -0.73 eV per atom.

Geometry as POSCAR:
```
Sm4YRh5
1.0
3.5235 0.0000 0.0000
0.0000 3.5235 0.0000
0.0000 0.0000 17.0844
Sm Y Rh
4 1 5
Cartesian
0.0000 0.0000 1.7194
0.0000 0.0000 5.1564
0.0000 0.0000 11.9280
0.0000 0.0000 15.3649
0.0000 0.0000 8.5422
1.7618 1.7618 0.0000
1.7618 1.7618 3.4382
1.7618 1.7618 6.8763
1.7618 1.7618 10.2080
1.7618 1.7618 13.6461
```

Record 2
Crystalline Sm4Y3Rh4 at its relaxed geometry. Source: Alexandria, functional PBE-GGA.

Computed properties:
The volume comes out at 24.7 A^3/atom. The theoretical density comes out at 7.81 Mg/m³. Its space group is Immm. The formation energy is -0.55 eV per atom.

Geometry as POSCAR:
```
Sm4Y3Rh4
1.0
-1.8576 4.5095 8.1200
1.8576 -4.5095 8.1200
1.8576 4.5095 -8.1200
Sm Y Rh
4 3 4
Cartesian
1.8576 -2.8244 5.4585
0.0000 1.6851 2.6614
1.8576 2.8244 5.4585
0.0000 7.3338 2.6614
1.8576 0.0000 0.0000
0.0000 0.0000 6.4854
0.0000 0.0000 9.7546
1.8576 0.0000 4.1479
0.0000 2.5752 0.0000
0.0000 6.4437 0.0000
0.0000 4.5095 3.9720
```

What did the second record say?
Crystalline Sm4Y3Rh4 at its relaxed geometry. Source: Alexandria, functional PBE-GGA.

Computed properties:
The volume comes out at 24.7 A^3/atom. The theoretical density comes out at 7.81 Mg/m³. Its space group is Immm. The formation energy is -0.55 eV per atom.

Geometry as POSCAR:
```
Sm4Y3Rh4
1.0
-1.8576 4.5095 8.1200
1.8576 -4.5095 8.1200
1.8576 4.5095 -8.1200
Sm Y Rh
4 3 4
Cartesian
1.8576 -2.8244 5.4585
0.0000 1.6851 2.6614
1.8576 2.8244 5.4585
0.0000 7.3338 2.6614
1.8576 0.0000 0.0000
0.0000 0.0000 6.4854
0.0000 0.0000 9.7546
1.8576 0.0000 4.1479
0.0000 2.5752 0.0000
0.0000 6.4437 0.0000
0.0000 4.5095 3.9720
```

Repeat the second record exactly.
Crystalline Sm4Y3Rh4 at its relaxed geometry. Source: Alexandria, functional PBE-GGA.

Computed properties:
The volume comes out at 24.7 A^3/atom. The theoretical density comes out at 7.81 Mg/m³. Its space group is Immm. The formation energy is -0.55 eV per atom.

Geometry as POSCAR:
```
Sm4Y3Rh4
1.0
-1.8576 4.5095 8.1200
1.8576 -4.5095 8.1200
1.8576 4.5095 -8.1200
Sm Y Rh
4 3 4
Cartesian
1.8576 -2.8244 5.4585
0.0000 1.6851 2.6614
1.8576 2.8244 5.4585
0.0000 7.3338 2.6614
1.8576 0.0000 0.0000
0.0000 0.0000 6.4854
0.0000 0.0000 9.7546
1.8576 0.0000 4.1479
0.0000 2.5752 0.0000
0.0000 6.4437 0.0000
0.0000 4.5095 3.9720
```

- theoretical density of number 1 (Sm4YRh5)?
  9.43 Mg/m³

- Which of these has the lowest theoretical density?
  Sm4Y3Rh4